[1]
A relaxed LiCd2AuBr crystal, computed with GGA-PBE.

Lattice parameters (Å, degrees): 5.2845 5.2845 4.5735 90.00 90.00 90.00
Space group P4/mmm (No. 123)
Asymmetric unit:
Li 0.0000 0.0000 0.0000 [1 per cell]
Cd 0.0000 0.5000 0.0000 [2 per cell]
Au 0.0000 0.0000 0.5000 [1 per cell]
Br 0.5000 0.5000 0.5000 [1 per cell]

magnetic moment = 0.000 Bohr magnetons per cell
formation energy from raw total energies = 0.099 eV/atom
raw total energy = -1.64 eV/atom


[2]
A relaxed LuHfSc crystal, computed with GGA-PBE.

Lattice parameters (Å, degrees): 5.1224 5.1224 3.2758 90.00 90.00 120.00
Space group P-6m2 (No. 187)
Asymmetric unit:
Lu 0.0000 0.0000 0.0000 [1 per cell]
Hf 0.6667 0.3333 0.5000 [1 per cell]
Sc 0.3333 0.6667 0.5000 [1 per cell]

magnetic moment = 0.001 Bohr magnetons per cell
raw total energy = -6.82 eV/atom


[3]
A relaxed NaZn5Au3 crystal, computed with GGA-PBE.

Lattice parameters (Å, degrees): 7.9659 7.9659 5.5150 90.00 90.00 120.00
Space group P6_3/mcm (No. 193)
Asymmetric unit:
Na 0.0000 0.0000 0.0000 [2 per cell]
Zn 0.0000 0.3290 0.2500 [6 per cell]
Zn 0.3333 0.6667 0.0000 [4 per cell]
Au 0.0000 0.3437 0.7500 [6 per cell]

magnetic moment = 0.000 Bohr magnetons per cell
raw total energy = -2.11 eV/atom


[4]
A relaxed LaAgIr2 crystal, computed with GGA-PBE.

Lattice parameters (Å, degrees): 3.0134 4.6032 5.6437 90.00 101.35 90.00
Space group Pm (No. 6)
Asymmetric unit:
La 0.0000 0.0000 0.0000 [1 per cell]
Ag 0.5768 0.5000 0.2425 [1 per cell]
Ir 0.2075 0.5000 0.6648 [1 per cell]
Ir 0.5778 0.0000 0.5381 [1 per cell]

magnetic moment = 0.000 Bohr magnetons per cell
raw total energy = -6.32 eV/atom


[5]
A relaxed TaTl2As crystal, computed with GGA-PBE.

Lattice parameters (Å, degrees): 3.1510 3.1510 31.4786 90.00 90.00 120.00
Space group R-3m (No. 166, hexagonal axes)
Asymmetric unit:
Ta 0.0000 0.0000 0.0000 [3 per cell]
Tl 0.0000 0.0000 0.2527 [6 per cell]
As 0.0000 0.0000 0.5000 [3 per cell]

magnetic moment = 0.001 Bohr magnetons per cell
raw total energy = -4.69 eV/atom


[6]
A relaxed PmCu2Hg crystal, computed with GGA-PBE.

Lattice parameters (Å, degrees): 6.7533 6.7533 6.7533 90.00 90.00 90.00
Space group Fm-3m (No. 225)
Asymmetric unit:
Pm 0.0000 0.0000 0.0000 [4 per cell]
Cu 0.2500 0.2500 0.2500 [8 per cell]
Hg 0.0000 0.0000 0.5000 [4 per cell]

magnetic moment = 0.000 Bohr magnetons per cell
raw total energy = -3.48 eV/atom